Entry 1:
The following is a PBE-GGA calculation of a relaxed structure of Te2AuSe, from Alexandria via LeMat-Bulk.

abc: 4.1977 4.1977 7.1827
angles: 75.37 75.37 59.08
Element x y z (fractional)
Au (0.7500, 0.7500, 0.7500)
Te (0.0331, 0.0331, 0.9725)
Te (0.4669, 0.4669, 0.5275)
Se (0.2500, 0.2500, 0.2500)

Computed properties:
- Density of states at the Fermi level: 2.16 states/eV per cell
- Energy above the lowest structure with this stoichiometry: 0 meV/atom
- Energy relative to the elements, uncorrected: -0.015 eV/atom

Entry 2:
The following is a PBE-GGA calculation of a relaxed structure of TeAu2Se, from Alexandria via LeMat-Bulk.

abc: 4.3198 4.3198 6.7203
angles: 71.09 71.09 56.10
Element x y z (fractional)
Au (0.0227, 0.0227, 0.9895)
Au (0.7407, 0.7407, 0.7522)
Se (0.4312, 0.4312, 0.5443)
Te (0.3054, 0.3054, 0.2140)

Computed properties:
- Density of states at the Fermi level: 1.12 states/eV per cell
- Energy above the lowest structure with this stoichiometry: 0 meV/atom
- Energy relative to the elements, uncorrected: -0.007 eV/atom

Entry 3:
The following is a PBE-GGA calculation of a relaxed structure of TeAuSe3, from Alexandria via LeMat-Bulk.

abc: 4.7903 8.9287 10.5502
angles: 121.90 90.00 105.56
Element x y z (fractional)
Se (0.8365, 0.6730, 0.4838)
Se (0.3068, 0.6136, 0.9844)
Se (0.0177, 0.0354, 0.1271)
Se (0.6932, 0.3864, 0.0156)
Se (0.1635, 0.3270, 0.5162)
Se (0.9823, 0.9646, 0.8729)
Te (0.6287, 0.2575, 0.3712)
Te (0.3713, 0.7425, 0.6288)
Au (0.1458, 0.2915, 0.9353)
Au (0.8542, 0.7085, 0.0647)

Computed properties:
- Density of states at the Fermi level: 2.98 states/eV per cell
- Energy above the lowest structure with this stoichiometry: 82 meV/atom
- Energy relative to the elements, uncorrected: 0.116 eV/atom

Entry 4:
The following is a PBE-GGA calculation of a relaxed structure of Te2AuSe, from Alexandria via LeMat-Bulk.

abc: 6.5364 6.5364 3.3625
angles: 60.26 60.26 75.88
Element x y z (fractional)
Te (0.5000, 0.5000, 0.0000)
Te (0.0000, 0.0000, 0.0000)
Se (0.0000, 0.5000, 0.5000)
Au (0.5000, 0.0000, 0.5000)

Computed properties:
- Density of states at the Fermi level: 1.96 states/eV per cell
- Energy above the lowest structure with this stoichiometry: 52 meV/atom
- Energy relative to the elements, uncorrected: 0.037 eV/atom

Entry 5:
The following is a PBE-GGA calculation of a relaxed structure of TeAu3Se, from Alexandria via LeMat-Bulk.

abc: 5.0375 5.0375 5.0375
angles: 90.00 90.00 90.00
Element x y z (fractional)
Au (0.5000, 0.0000, 0.0000)
Au (0.0000, 0.0000, 0.5000)
Au (0.0000, 0.5000, 0.0000)
Se (0.0000, 0.0000, 0.0000)
Te (0.5000, 0.5000, 0.5000)

Computed properties:
- Density of states at the Fermi level: 3.76 states/eV per cell
- Energy above the lowest structure with this stoichiometry: 0 meV/atom
- Energy relative to the elements, uncorrected: 0.507 eV/atom

Entry 6:
The following is a PBE-GGA calculation of a relaxed structure of Te3Au12Se5, from Alexandria via LeMat-Bulk.

abc: 13.6837 13.6837 13.6837
angles: 109.47 109.47 109.47
Element x y z (fractional)
Au (0.8263, 0.9243, 0.0560)
Au (0.0980, 0.1737, 0.2297)
Au (0.7297, 0.1317, 0.0560)
Au (0.6737, 0.2297, 0.5980)
Au (0.3683, 0.9440, 0.7703)
Au (0.8263, 0.9020, 0.2703)
Au (0.8683, 0.2703, 0.4440)
Au (0.5560, 0.3263, 0.9243)
Au (0.2703, 0.8683, 0.9440)
Au (0.2297, 0.6737, 0.0980)
Au (0.0560, 0.4243, 0.8263)
Au (0.0757, 0.9020, 0.1317)
Au (0.2703, 0.4020, 0.8263)
Au (0.1317, 0.4020, 0.0757)
Au (0.3263, 0.7703, 0.4020)
Au (0.1317, 0.7297, 0.5560)
Au (0.2297, 0.5560, 0.6317)
Au (0.1737, 0.0757, 0.9440)
Au (0.9243, 0.0980, 0.8683)
Au (0.5757, 0.6317, 0.4020)
Au (0.0757, 0.1737, 0.4440)
Au (0.0560, 0.6317, 0.7297)
Au (0.4020, 0.1317, 0.5757)
Au (0.6737, 0.4440, 0.5757)
Au (0.4243, 0.3683, 0.5980)
Au (0.5980, 0.8683, 0.4243)
Au (0.3683, 0.4243, 0.0980)
Au (0.9020, 0.0757, 0.6317)
Au (0.5757, 0.9440, 0.6737)
Au (0.6317, 0.5757, 0.9020)
Au (0.7703, 0.4440, 0.3683)
Au (0.4440, 0.6737, 0.0757)
Au (0.5980, 0.7297, 0.6737)
Au (0.8683, 0.5980, 0.9243)
Au (0.9020, 0.8263, 0.7703)
Au (0.9243, 0.8263, 0.5560)
Au (0.4243, 0.0560, 0.3263)
Au (0.7703, 0.3263, 0.9020)
Au (0.1737, 0.0980, 0.7297)
Au (0.4020, 0.2703, 0.3263)
Au (0.4440, 0.7703, 0.8683)
Au (0.9440, 0.3683, 0.2703)
Au (0.3263, 0.5560, 0.4243)
Au (0.0980, 0.9243, 0.3683)
Au (0.5560, 0.2297, 0.1317)
Au (0.7297, 0.5980, 0.1737)
Au (0.9440, 0.5757, 0.1737)
Au (0.6317, 0.0560, 0.2297)
Se (0.1250, 0.3750, 0.2500)
Se (0.8750, 0.2500, 0.6250)
Se (0.2500, 0.8750, 0.1250)
Se (0.0000, 0.0000, 0.5000)
Se (0.6250, 0.8750, 0.2500)
Se (0.3750, 0.1250, 0.7500)
Se (0.5000, 0.5000, 0.5000)
Se (0.0000, 0.5000, 0.5000)
Se (0.6250, 0.7500, 0.8750)
Se (0.1250, 0.7500, 0.3750)
Se (0.3750, 0.2500, 0.1250)
Se (0.2500, 0.3750, 0.6250)
Se (0.5000, 0.5000, 0.0000)
Se (0.7500, 0.1250, 0.8750)
Se (0.8750, 0.6250, 0.7500)
Se (0.5000, 0.0000, 0.5000)
Se (0.0000, 0.0000, 0.0000)
Se (0.7500, 0.6250, 0.3750)
Se (0.0000, 0.5000, 0.0000)
Se (0.5000, 0.0000, 0.0000)
Te (0.3750, 0.6250, 0.2500)
Te (0.8750, 0.1250, 0.2500)
Te (0.6250, 0.2500, 0.3750)
Te (0.1250, 0.2500, 0.8750)
Te (0.7500, 0.8750, 0.6250)
Te (0.1250, 0.8750, 0.7500)
Te (0.7500, 0.3750, 0.1250)
Te (0.2500, 0.6250, 0.8750)
Te (0.3750, 0.7500, 0.6250)
Te (0.2500, 0.1250, 0.3750)
Te (0.8750, 0.7500, 0.1250)
Te (0.6250, 0.3750, 0.7500)

Computed properties:
- Density of states at the Fermi level: 48.38 states/eV per cell
- Energy relative to the elements, uncorrected: 0.120 eV/atom

Entry 7:
The following is a PBE-GGA calculation of a relaxed structure of Te3Au5Se12, from Alexandria via LeMat-Bulk.

abc: 13.9978 13.9978 13.9978
angles: 109.47 109.47 109.47
Element x y z (fractional)
Se (0.9216, 0.8293, 0.7890)
Se (0.8674, 0.5784, 0.9076)
Se (0.9598, 0.3674, 0.2890)
Se (0.6707, 0.4598, 0.5924)
Se (0.1326, 0.7110, 0.5402)
Se (0.5402, 0.3293, 0.9076)
Se (0.4598, 0.6707, 0.0924)
Se (0.1707, 0.0784, 0.7110)
Se (0.4076, 0.0402, 0.3293)
Se (0.5784, 0.7110, 0.6707)
Se (0.2890, 0.8674, 0.9598)
Se (0.9216, 0.0924, 0.6326)
Se (0.2890, 0.4216, 0.8293)
Se (0.7890, 0.3293, 0.9216)
Se (0.0784, 0.9076, 0.3674)
Se (0.8293, 0.9076, 0.0402)
Se (0.6326, 0.5924, 0.9216)
Se (0.0402, 0.4076, 0.8293)
Se (0.7110, 0.5784, 0.1707)
Se (0.9076, 0.0784, 0.8674)
Se (0.0924, 0.9216, 0.1326)
Se (0.1707, 0.0924, 0.9598)
Se (0.3293, 0.7890, 0.4216)
Se (0.7110, 0.1326, 0.0402)
Se (0.1326, 0.4216, 0.0924)
Se (0.8293, 0.9216, 0.2890)
Se (0.5924, 0.9598, 0.6707)
Se (0.7890, 0.4598, 0.3674)
Se (0.4076, 0.3674, 0.5784)
Se (0.0924, 0.1707, 0.4598)
Se (0.9598, 0.5924, 0.1707)
Se (0.6707, 0.2110, 0.5784)
Se (0.8674, 0.2890, 0.4598)
Se (0.4216, 0.2890, 0.3293)
Se (0.3293, 0.5402, 0.4076)
Se (0.9076, 0.8293, 0.5402)
Se (0.3674, 0.4076, 0.0784)
Se (0.6326, 0.0402, 0.2110)
Se (0.4598, 0.7890, 0.8674)
Se (0.4216, 0.1326, 0.5924)
Se (0.5924, 0.6326, 0.4216)
Se (0.3674, 0.9598, 0.7890)
Se (0.2110, 0.5402, 0.6326)
Se (0.0402, 0.6326, 0.7110)
Se (0.5784, 0.8674, 0.4076)
Se (0.0784, 0.1707, 0.2110)
Se (0.2110, 0.6707, 0.0784)
Se (0.5402, 0.2110, 0.1326)
Au (0.1250, 0.3750, 0.2500)
Au (0.5000, 0.0000, 0.5000)
Au (0.3750, 0.1250, 0.7500)
Au (0.6250, 0.8750, 0.2500)
Au (0.7500, 0.1250, 0.8750)
Au (0.5000, 0.5000, 0.5000)
Au (0.5000, 0.5000, 0.0000)
Au (0.5000, 0.0000, 0.0000)
Au (0.0000, 0.0000, 0.0000)
Au (0.6250, 0.7500, 0.8750)
Au (0.0000, 0.0000, 0.5000)
Au (0.2500, 0.3750, 0.6250)
Au (0.8750, 0.6250, 0.7500)
Au (0.0000, 0.5000, 0.0000)
Au (0.0000, 0.5000, 0.5000)
Au (0.7500, 0.6250, 0.3750)
Au (0.1250, 0.7500, 0.3750)
Au (0.2500, 0.8750, 0.1250)
Au (0.8750, 0.2500, 0.6250)
Au (0.3750, 0.2500, 0.1250)
Te (0.1250, 0.8750, 0.7500)
Te (0.3750, 0.6250, 0.2500)
Te (0.7500, 0.8750, 0.6250)
Te (0.1250, 0.2500, 0.8750)
Te (0.6250, 0.2500, 0.3750)
Te (0.8750, 0.7500, 0.1250)
Te (0.6250, 0.3750, 0.7500)
Te (0.2500, 0.6250, 0.8750)
Te (0.7500, 0.3750, 0.1250)
Te (0.2500, 0.1250, 0.3750)
Te (0.8750, 0.1250, 0.2500)
Te (0.3750, 0.7500, 0.6250)

Computed properties:
- Density of states at the Fermi level: 45.80 states/eV per cell
- Energy relative to the elements, uncorrected: 0.183 eV/atom

Entry 8:
The following is a PBE-GGA calculation of a relaxed structure of Te2AuSe, from Alexandria via LeMat-Bulk.

abc: 6.1064 6.1064 6.1064
angles: 141.86 91.69 100.61
Element x y z (fractional)
Se (0.7500, 0.2500, 0.5000)
Te (0.0099, 0.0099, 0.0000)
Te (0.4901, 0.4901, 0.0000)
Au (0.2500, 0.7500, 0.5000)

Computed properties:
- Density of states at the Fermi level: 3.82 states/eV per cell
- Energy above the lowest structure with this stoichiometry: 210 meV/atom
- Energy relative to the elements, uncorrected: 0.195 eV/atom

Entry 9:
The following is a PBE-GGA calculation of a relaxed structure of TeAuSe4, from Alexandria via LeMat-Bulk.

abc: 5.7510 5.7510 5.7510
angles: 60.00 60.00 60.00
Element x y z (fractional)
Se (0.3737, 0.3737, 0.3737)
Se (0.3737, 0.3737, 0.8790)
Se (0.8790, 0.3737, 0.3737)
Se (0.3737, 0.8790, 0.3737)
Te (0.7500, 0.7500, 0.7500)
Au (0.0000, 0.0000, 0.0000)

Computed properties:
- Density of states at the Fermi level: 2.82 states/eV per cell
- Energy above the lowest structure with this stoichiometry: 690 meV/atom
- Energy relative to the elements, uncorrected: 0.713 eV/atom

Entry 10:
The following is a PBE-GGA calculation of a relaxed structure of TeAuSe4, from Alexandria via LeMat-Bulk.

abc: 3.9217 9.0486 10.5652
angles: 85.72 90.02 89.99
Element x y z (fractional)
Se (0.0000, 0.6154, 0.6620)
Se (0.5000, 0.9481, 0.3505)
Se (0.0002, 0.5519, 0.1495)
Se (0.9998, 0.4481, 0.8505)
Se (0.5001, 0.1154, 0.1620)
Se (0.5000, 0.0519, 0.6495)
Se (0.4999, 0.8846, 0.8380)
Se (0.0000, 0.3846, 0.3380)
Au (0.5000, 0.5000, 0.0000)
Au (0.0000, 0.0000, 0.5000)
Te (0.5000, 0.5000, 0.5000)
Te (0.0000, 0.0000, 0.0000)

Computed properties:
- Density of states at the Fermi level: 4.38 states/eV per cell
- Energy above the lowest structure with this stoichiometry: 0 meV/atom
- Energy relative to the elements, uncorrected: 0.023 eV/atom

| no. | raw total energy (eV/cell) | total magnetic moment (μB per formula unit) |
| --- | --- | --- |
| 1 | -13.1 | 0.0 |
| 2 | -13.2 | 0.0 |
| 3 | -32.6 | 0.0 |
| 4 | -12.9 | 0.0 |
| 5 | -13.9 | 0.0 |
| 6 | -255.1 | 0.0 |
| 7 | -255.9 | 0.0 |
| 8 | -12.3 | 0.0 |
| 9 | -16.1 | 0.0 |
| 10 | -40.4 | 0.0 |